Density functional theory data (PBE) for a relaxed MnCuAg2 crystal.

Results
Relative energy among the computed polymorphs, meV/atom: 103
ΔE_f, kJ/mol of formula units: 105
D(E_F), states/eV/cell: 2.43

Lattice parameters (Å, degrees): 9.0732 9.0732 9.0732 18.17 18.17 18.17
With the nearest neighbours (Å) after each atom.
Element x y z (fractional)
1 Mn 0.0000 0.0000 0.0000  6 Ag 2.83, 6 Mn 2.86
2 Cu 0.5000 0.5000 0.5000  6 Ag 2.73, 6 Cu 2.86
3 Ag 0.2478 0.2478 0.2478  3 Cu 2.73, 3 Mn 2.83, 6 Ag 2.86
4 Ag 0.7522 0.7522 0.7522  3 Cu 2.73, 3 Mn 2.83, 6 Ag 2.86



Density functional theory data (PBE) for a relaxed Mn2CuAg crystal.

Results
Relative energy among the computed polymorphs, meV/atom: 146
ΔE_f, kJ/mol of formula units: 135
D(E_F), states/eV/cell: 1.48

Lattice parameters (Å, degrees): 4.3790 4.3790 4.3790 60.00 60.00 60.00
With the nearest neighbours (Å) after each atom.
Element x y z (fractional)
1 Mn 0.0000 0.0000 0.0000  4 Mn 2.68, 4 Ag 2.68
2 Mn 0.2500 0.2500 0.2500  4 Mn 2.68, 4 Cu 2.68
3 Cu 0.5000 0.5000 0.5000  4 Mn 2.68, 4 Ag 2.68
4 Ag 0.7500 0.7500 0.7500  4 Cu 2.68, 4 Mn 2.68



Density functional theory data (PBE) for a relaxed RbMnCu2Ag crystal.

Results
ΔE_f, kJ/mol of formula units: 366
D(E_F), states/eV/cell: 2.44

Lattice parameters (Å, degrees): 5.0675 5.0675 5.0470 90.00 90.00 90.00
With the nearest neighbours (Å) after each atom.
Element x y z (fractional)
1 Rb 0.0000 0.0000 0.0000  8 Cu 3.58, 4 Mn 3.58
2 Mn 0.5000 0.5000 0.0000  2 Ag 2.52
3 Cu 0.0000 0.5000 0.5000  2 Ag 2.53
4 Cu 0.5000 0.0000 0.5000  2 Ag 2.53
5 Ag 0.5000 0.5000 0.5000  2 Mn 2.52, 4 Cu 2.53



Record-wise uncorrected energy values, in eV for the cell shown: -17.9; -23.9; -17.4
Record-wise total magnetization values, in μB per atom: 0.951; 1.948; 0.940